A relaxed Nd6Co2RuBr3 crystal. Source: the Alexandria database, functional GGA-PBE.

abc: 4.012 9.143 9.976
angles: 112.68 101.60 90.00
Element x y z (fractional)
Nd: 0.344 0.883 0.688
Nd: 0.680 0.552 0.360
Nd: 0.656 0.117 0.312
Nd: 0.013 0.225 0.026
Nd: 0.987 0.775 0.974
Nd: 0.320 0.448 0.640
Co: 0.831 0.663 0.663
Co: 0.169 0.337 0.337
Ru: 0.500 0.000 0.000
Br: 0.500 0.500 0.000
Br: 0.834 0.167 0.668
Br: 0.166 0.833 0.332

- crystal system = monoclinic
- volume (Å³ per cell) = 329.48
- raw formation energy (eV per atom) = -0.74
- space group = No. 12
- D(E_F) (states/eV per atom) = 0.405